Here is a geometry-optimized Rb2SBrCl6 structure from Alexandria. Energies are from GGA-PBEsol.

Calculated values
Formation energy from raw total energies ... -8.42 eV/f.u.

a = 7.3404 Å, b = 7.3404 Å, c = 7.3404 Å
α = 60.00°, β = 60.00°, γ = 60.00°
Last column: nearest neighbours and their distance in Å.
Element x y z (fractional)
Rb  0.2500  0.2500  0.2500  12 Cl 3.68
Rb  0.7500  0.7500  0.7500  12 Cl 3.68
S  0.0000  0.0000  0.0000  6 Cl 2.31
Br  0.5000  0.5000  0.5000  6 Cl 2.88
Cl  0.2226  0.2226  0.7774  1 S 2.31
Cl  0.2226  0.7774  0.2226  1 S 2.31
Cl  0.2226  0.7774  0.7774  1 S 2.31
Cl  0.7774  0.2226  0.2226  1 S 2.31
Cl  0.7774  0.2226  0.7774  1 S 2.31
Cl  0.7774  0.7774  0.2226  1 S 2.31